1.
First-principles (PBE) data for an optimized crystal structure of CdReBr2, as listed in Alexandria.

As for the space group: No. 6. The electronic total energy comes out at -15.69 eV per cell. The formation energy (no corrections) comes out at 0.2550 eV per atom. The value obtained for the total moment is 0.2869 μB/atom.

a = 3.223 Å, b = 4.668 Å, c = 7.792 Å
α = 72.76°, β = 90.00°, γ = 90.00°
Site moments in Bohr magnetons follow the coordinates.
Sites, in units of the cell vectors:
Re (0.500, 0.985, 0.657)  0.93
Br (0.500, 0.147, 0.326)  0.04
Br (0.000, 0.855, 0.919)  0.04
Cd (0.000, 0.513, 0.599)  -0.01

2.
First-principles (PBE) data for an optimized crystal structure of OsPdW, as listed in Alexandria.

As for the space group: No. 156. The electronic total energy comes out at -28.49 eV per cell. The formation energy from the elements comes out at 0.294 eV/atom. The value obtained for the total moment is 0.0000 μB/atom.

a = 2.668 Å, b = 4.455 Å, c = 4.455 Å
α = 120.00°, β = 90.00°, γ = 90.00°
Sites, in units of the cell vectors:
W (0.667, 0.333, 0.667)
Pd (0.167, 0.667, 0.333)
Os (0.165, 0.000, 0.000)

3.
First-principles (PBE) data for an optimized crystal structure of Ho3Tm2Te2, as listed in Alexandria.

As for the space group: No. 12. The electronic total energy comes out at -33.69 eV per cell. The formation energy (no corrections) comes out at -0.6758 eV per atom. The value obtained for the total moment is 0.0000 μB/atom.

a = 3.914 Å, b = 6.819 Å, c = 8.413 Å
α = 110.54°, β = 90.00°, γ = 106.68°
Sites, in units of the cell vectors:
Tm (0.135, 0.270, 0.797)
Tm (0.865, 0.730, 0.203)
Ho (0.383, 0.766, 0.557)
Ho (0.617, 0.234, 0.443)
Ho (0.500, 0.000, 0.000)
Te (0.184, 0.367, 0.204)
Te (0.816, 0.633, 0.796)

4.
First-principles (PBE) data for an optimized crystal structure of LiTeAs, as listed in Alexandria.

As for the space group: No. 156. The electronic total energy comes out at -9.83 eV per cell. The formation energy (no corrections) comes out at -0.0430 eV per atom. The value obtained for the total moment is 0.0000 μB/atom.

a = 4.589 Å, b = 4.589 Å, c = 4.401 Å
α = 90.00°, β = 90.00°, γ = 120.00°
Sites, in units of the cell vectors:
Li (0.333, 0.667, 0.295)
As (0.000, 0.000, 0.953)
Te (0.667, 0.333, 0.753)

5.
First-principles (PBE) data for an optimized crystal structure of RbBa4Hg5, as listed in Alexandria.

As for the space group: No. 123. The electronic total energy comes out at -14.62 eV per cell. The formation energy from the elements comes out at -0.445 eV/atom. The value obtained for the total moment is 0.0000 μB/atom.

a = 4.211 Å, b = 4.211 Å, c = 21.634 Å
α = 90.00°, β = 90.00°, γ = 90.00°
Sites, in units of the cell vectors:
Ba (0.000, 0.000, 0.403)
Ba (0.000, 0.000, 0.208)
Ba (0.000, 0.000, 0.792)
Ba (0.000, 0.000, 0.597)
Hg (0.500, 0.500, 0.116)
Hg (0.500, 0.500, 0.884)
Hg (0.500, 0.500, 0.696)
Hg (0.500, 0.500, 0.304)
Hg (0.500, 0.500, 0.500)
Rb (0.000, 0.000, 0.000)

6.
First-principles (PBE) data for an optimized crystal structure of YMn2Co, as listed in Alexandria.

As for the space group: No. 160. The electronic total energy comes out at -31.50 eV per cell. The formation energy from the elements comes out at 0.101 eV/atom. The value obtained for the total moment is 0.4825 μB/atom.

a = 3.961 Å, b = 3.961 Å, c = 5.496 Å
α = 68.89°, β = 68.89°, γ = 60.00°
Site moments in Bohr magnetons follow the coordinates.
Sites, in units of the cell vectors:
Mn (0.692, 0.692, 0.924)  -1.36
Mn (0.011, 0.011, 0.967)  2.08
Co (0.297, 0.297, 0.108)  1.21
Y (0.500, 0.500, 0.501)  -0.04